Record 1
MnSbAsI2: relaxed, PBE.

abc: 5.5817 5.5817 5.6416
angles: 90.00 90.00 90.00
Each line ends with the local moment (μB).
Fractional coordinates of all 5 atoms:
I (0.0000, 0.5000, 0.0000)  0.00
I (0.5000, 0.0000, 0.0000)  0.00
Sb (0.0000, 0.0000, 0.5000)  -0.19
As (0.0000, 0.0000, 0.0000)  -0.01
Mn (0.5000, 0.5000, 0.5000)  4.60

## Properties
**Magnetization**: 4.68 μB/cell
**Distance to the lowest polymorph of the same formula**: 0.131 eV per atom
**E_form (uncorrected)**: 338 kJ/mol of formula units
**Calculated total energy**: -3.51 eV/atom

Record 2
Nd7Y2Tm3: relaxed, PBE.

abc: 5.5268 6.2986 12.3227
angles: 90.11 90.00 90.00
Fractional coordinates of all 12 atoms:
Nd (0.5000, 0.2435, 0.4549)
Nd (0.5000, 0.7565, 0.5451)
Nd (0.0000, 0.4463, 0.1822)
Nd (0.0000, 0.0000, 0.0000)
Nd (0.0000, 0.5537, 0.8178)
Nd (0.5000, 0.9065, 0.8283)
Nd (0.5000, 0.0935, 0.1717)
Y (0.5000, 0.6176, 0.2758)
Y (0.5000, 0.3824, 0.7242)
Tm (0.5000, 0.5000, 0.0000)
Tm (0.0000, 0.9386, 0.3431)
Tm (0.0000, 0.0614, 0.6569)

## Properties
**Formation enthalpy at 0 K**: 0.292 eV per atom
**Magnetization**: 0.00 μB/cell
**Distance to the lowest polymorph of the same formula**: 0.200 eV per atom
**Calculated total energy**: -4.68 eV/atom

Record 3
K3UBr2Cl6: relaxed, PBE.

abc: 6.0873 9.3240 9.4255
angles: 119.64 90.83 90.00
Each line ends with the local moment (μB).
Fractional coordinates of all 12 atoms:
K (0.0000, 0.5000, 0.0000)  0.00
K (0.5000, 0.5000, 0.5000)  0.00
K (0.5000, 0.0000, 0.5000)  0.00
U (0.5000, 0.0000, 0.0000)  1.12
Br (0.2013, 0.6781, 0.3562)  0.06
Br (0.7987, 0.3219, 0.6438)  0.06
Cl (0.2644, 0.7400, 0.8690)  -0.03
Cl (0.7356, 0.2600, 0.1310)  -0.03
Cl (0.2657, 0.1265, 0.2529)  -0.03
Cl (0.7343, 0.8735, 0.7471)  -0.03
Cl (0.7356, 0.8710, 0.1310)  -0.03
Cl (0.2644, 0.1290, 0.8690)  -0.03

## Properties
**Magnetization**: 1.14 μB/cell
**E_form (uncorrected)**: -1984 kJ/mol of formula units
**Calculated total energy**: -4.13 eV/atom

Record 4
AcNd2Zn6: relaxed, PBE.

abc: 3.7347 8.0073 8.0083
angles: 120.00 90.01 90.00
Fractional coordinates of all 9 atoms:
Ac (0.0000, 0.0000, 0.0000)
Nd (0.0002, 0.3334, 0.6667)
Nd (0.9998, 0.6666, 0.3333)
Zn (0.5003, 0.3396, 0.3397)
Zn (0.4997, 0.6604, 0.6603)
Zn (0.4997, 0.0000, 0.6603)
Zn (0.5000, 0.6603, 0.0000)
Zn (0.5000, 0.3397, 0.0000)
Zn (0.5003, 0.0000, 0.3397)

## Properties
**Formation enthalpy at 0 K**: -0.321 eV per atom
**Magnetization**: 0.00 μB/cell
**Calculated total energy**: -2.69 eV/atom

Record 5
MgTePd2: relaxed, PBE.

abc: 3.7832 4.3618 4.3618
angles: 90.00 90.00 90.00
Fractional coordinates of all 4 atoms:
Mg (0.5000, 0.5000, 0.5000)
Te (0.5000, 0.0000, 0.0000)
Pd (0.0000, 0.0000, 0.5000)
Pd (0.0000, 0.5000, 0.0000)

## Properties
**Magnetization**: 0.00 μB/cell
**Distance to the lowest polymorph of the same formula**: 0.000 eV per atom
**E_form (uncorrected)**: -197 kJ/mol of formula units
**Calculated total energy**: -4.29 eV/atom